#w
Computed, not measured: an optimized crystal structure of Li3YRh at the GGA-PBE level of DFT.

Unit cell a=4.6382 b=4.6382 c=4.6382 alpha=90.00 beta=90.00 gamma=90.00
Closest atoms and distances in Å follow each position.
Positions (direct):
Rh (0.5000, 0.5000, 0.5000)  12 Li 3.28
Li (0.5000, 0.0000, 0.0000)  2 Y 2.32
Li (0.0000, 0.0000, 0.5000)  2 Y 2.32
Li (0.0000, 0.5000, 0.0000)  2 Y 2.32
Y (0.0000, 0.0000, 0.0000)  6 Li 2.32

Calculated values
SG: Pm-3m (221)
M_tot: 0.00 μB per cell



#x
Computed, not measured: an optimized crystal structure of Li3YRh at the GGA-PBE level of DFT.

Unit cell a=4.6088 b=4.6088 c=4.6088 alpha=90.00 beta=90.00 gamma=90.00
Closest atoms and distances in Å follow each position.
Positions (direct):
Y (0.5000, 0.5000, 0.5000)  12 Li 3.26
Li (0.0000, 0.5000, 0.0000)  2 Rh 2.30
Li (0.0000, 0.0000, 0.5000)  2 Rh 2.30
Li (0.5000, 0.0000, 0.0000)  2 Rh 2.30
Rh (0.0000, 0.0000, 0.0000)  6 Li 2.30

Calculated values
SG: Pm-3m (221)
M_tot: 0.00 μB per cell



The structure with the most favorable energy is #x; the runner-up is 1.325 eV/atom above it.



#w
Computed, not measured: an optimized crystal structure of Li2YRh at the GGA-PBE level of DFT.

Unit cell a=4.7003 b=4.7003 c=4.7003 alpha=120.08 beta=120.00 gamma=89.93
Closest atoms and distances in Å follow each position.
Positions (direct):
Rh (0.5004, 0.5004, 0.0000)  4 Li 2.87-2.88, 4 Y 2.88
Li (0.9995, 0.9995, 0.0000)  4 Li 2.88, 4 Y 2.88
Li (0.7498, 0.2498, 0.5000)  4 Rh 2.87-2.88, 4 Li 2.88
Y (0.2502, 0.7502, 0.5000)  4 Li 2.88, 4 Rh 2.88

Calculated values
SG: Imm2 (44)
M_tot: 0.00 μB per cell



#x
Computed, not measured: an optimized crystal structure of Li2YRh at the GGA-PBE level of DFT.

Unit cell a=4.5607 b=4.5607 c=4.5607 alpha=60.00 beta=60.00 gamma=60.00
Closest atoms and distances in Å follow each position.
Positions (direct):
Li (0.2500, 0.2500, 0.2500)  4 Rh 2.79, 4 Y 2.79
Li (0.7500, 0.7500, 0.7500)  4 Rh 2.79, 4 Y 2.79
Y (0.0000, 0.0000, 0.0000)  8 Li 2.79
Rh (0.5000, 0.5000, 0.5000)  8 Li 2.79

Calculated values
SG: Fm-3m (225)
M_tot: 0.00 μB per cell



#y
Computed, not measured: an optimized crystal structure of Li2YRh at the GGA-PBE level of DFT.

Unit cell a=3.9009 b=3.9009 c=10.8020 alpha=79.60 beta=79.60 gamma=90.00
Closest atoms and distances in Å follow each position.
Positions (direct):
Li (0.3750, 0.9306, 0.7500)  2 Li 2.47
Li (0.8750, 0.3194, 0.7500)  2 Li 2.47
Li (0.0694, 0.1250, 0.2500)  2 Li 2.47
Li (0.6806, 0.6250, 0.2500)  2 Li 2.47
Rh (0.0000, 0.0000, 0.0000)  4 Y 2.76, 4 Li 2.89
Rh (0.7500, 0.2500, 0.5000)  4 Y 2.76, 4 Li 2.89
Y (0.2500, 0.7500, 0.5000)  4 Rh 2.76, 4 Li 3.03
Y (0.5000, 0.5000, 0.0000)  4 Rh 2.76, 4 Li 3.03

Calculated values
SG: I-42d (122)
M_tot: 0.00 μB per cell



The structure with the most favorable energy is #w; the runner-up is 0.090 eV/atom above it.



#w
Computed, not measured: an optimized crystal structure of Li2YRh at the GGA-PBE level of DFT.

Unit cell a=9.7756 b=9.7756 c=9.7756 alpha=17.89 beta=17.89 gamma=17.89
Closest atoms and distances in Å follow each position.
Positions (direct):
Li (0.9834, 0.9834, 0.9834)  3 Rh 2.60
Li (0.5166, 0.5166, 0.5166)  3 Rh 2.60
Rh (0.2500, 0.2500, 0.2500)  6 Li 2.60
Y (0.7500, 0.7500, 0.7500)  6 Y 3.04, 6 Li 3.38

Calculated values
SG: R-3m (166)
M_tot: 0.38 μB per cell



#x
Computed, not measured: an optimized crystal structure of Li2YRh at the GGA-PBE level of DFT.

Unit cell a=3.8976 b=3.9295 c=4.9675 alpha=90.00 beta=90.00 gamma=90.00
Closest atoms and distances in Å follow each position.
Positions (direct):
Li (0.5000, 0.5000, 0.0000)  4 Li 2.77
Li (0.0000, 0.0000, 0.0000)  4 Li 2.77
Rh (0.5000, 0.0000, 0.5000)  4 Y 2.77
Y (0.0000, 0.5000, 0.5000)  4 Rh 2.77

Calculated values
SG: Pmmm (47)
M_tot: 0.00 μB per cell



The structure with the most favorable energy is #x; the runner-up is 0.500 eV/atom above it.



#w
Computed, not measured: an optimized crystal structure of Li2YRh at the GGA-PBE level of DFT.

Unit cell a=5.4496 b=5.4496 c=5.4496 alpha=137.93 beta=137.40 gamma=61.41
Closest atoms and distances in Å follow each position.
Positions (direct):
Li (0.9985, 0.9985, 0.0000)  4 Li 2.78, 4 Rh 3.04-3.08, 4 Y 3.06
Li (0.5015, 0.5015, 0.0000)  4 Li 2.78, 4 Rh 3.04-3.08, 4 Y 3.06
Y (0.2500, 0.7500, 0.5000)  4 Rh 2.78, 8 Li 3.06
Rh (0.7500, 0.2500, 0.5000)  4 Y 2.78, 8 Li 3.04-3.08

Calculated values
SG: Immm (71)
M_tot: 0.00 μB per cell



#x
Computed, not measured: an optimized crystal structure of Li2YRh at the GGA-PBE level of DFT.

Unit cell a=3.3950 b=3.3925 c=7.6448 alpha=63.29 beta=90.00 gamma=90.00
Closest atoms and distances in Å follow each position.
Positions (direct):
Rh (0.0000, 0.5287, 0.4719)  5 Li 2.77-2.78, 4 Y 2.84
Li (0.0000, 0.9347, 0.0654)  4 Li 2.76-2.78, 1 Rh 2.78
Li (0.5000, 0.2329, 0.2680)  4 Li 2.76-2.78, 4 Rh 2.77-2.78, 1 Y 2.91
Y (0.5000, 0.8037, 0.6947)  4 Rh 2.84, 1 Li 2.91

Calculated values
SG: Pm (6)
M_tot: 0.00 μB per cell



#y
Computed, not measured: an optimized crystal structure of Li2YRh at the GGA-PBE level of DFT.

Unit cell a=3.5353 b=3.5353 c=5.5785 alpha=90.00 beta=90.00 gamma=90.00
Closest atoms and distances in Å follow each position.
Positions (direct):
Rh (0.5000, 0.5000, 0.2500)  8 Li 2.72, 2 Y 2.79
Li (0.0000, 0.0000, 0.4435)  1 Li 2.16
Li (0.0000, 0.0000, 0.0565)  1 Li 2.16
Y (0.5000, 0.5000, 0.7500)  2 Rh 2.79, 8 Li 3.03

Calculated values
SG: P4/mmm (123)
M_tot: 0.00 μB per cell



The structure with the most favorable energy is #w; the runner-up is 0.058 eV/atom above it.



#w
Computed, not measured: an optimized crystal structure of LiY2Rh2 at the GGA-PBE level of DFT.

Unit cell a=8.0631 b=8.0631 c=3.2885 alpha=90.00 beta=90.00 gamma=90.00
Closest atoms and distances in Å follow each position.
Positions (direct):
Li (0.5000, 0.5000, 0.0000)  4 Y 3.07, 2 Li 3.29
Li (0.0000, 0.0000, 0.0000)  4 Y 3.07, 2 Li 3.29
Y (0.3500, 0.8500, 0.0000)  6 Rh 2.85-2.90, 2 Li 3.07
Y (0.1500, 0.3500, 0.0000)  6 Rh 2.85-2.90, 2 Li 3.07
Y (0.6500, 0.1500, 0.0000)  6 Rh 2.85-2.90, 2 Li 3.07
Y (0.8500, 0.6500, 0.0000)  6 Rh 2.85-2.90, 2 Li 3.07
Rh (0.6459, 0.8541, 0.5000)  6 Y 2.85-2.90
Rh (0.1459, 0.6459, 0.5000)  6 Y 2.85-2.90
Rh (0.8541, 0.3541, 0.5000)  6 Y 2.85-2.90
Rh (0.3541, 0.1459, 0.5000)  6 Y 2.85-2.90

Calculated values
SG: P4/mbm (127)
M_tot: 0.00 μB per cell



#x
Computed, not measured: an optimized crystal structure of LiY2Rh2 at the GGA-PBE level of DFT.

Unit cell a=4.0803 b=5.4712 c=5.4712 alpha=66.12 beta=68.11 gamma=68.11
Closest atoms and distances in Å follow each position.
Positions (direct):
Li (0.5000, 0.5000, 0.0000)  4 Rh 2.59
Rh (0.0000, 0.7686, 0.7314)  2 Li 2.59, 1 Rh 2.76
Rh (0.0000, 0.2314, 0.2686)  2 Li 2.59, 1 Rh 2.76
Y (0.2956, 0.2047, 0.7047)  6 Rh 2.91-2.98, 2 Li 3.17
Y (0.7044, 0.7953, 0.2953)  6 Rh 2.91-2.98, 2 Li 3.17

Calculated values
SG: Immm (71)
M_tot: 0.00 μB per cell



The structure with the most favorable energy is #x; the runner-up is 0.205 eV/atom above it.



#w
Computed, not measured: an optimized crystal structure of LiY2Rh2 at the GGA-PBE level of DFT.

Unit cell a=7.6793 b=7.6793 c=3.5692 alpha=90.00 beta=90.00 gamma=90.00
Closest atoms and distances in Å follow each position.
Positions (direct):
Y (0.8389, 0.3389, 0.5000)  6 Rh 2.82-2.91
Y (0.1611, 0.6611, 0.5000)  6 Rh 2.82-2.91
Y (0.6611, 0.8389, 0.5000)  6 Rh 2.82-2.91
Y (0.3389, 0.1611, 0.5000)  6 Rh 2.82-2.91
Rh (0.1378, 0.3622, 0.0000)  6 Y 2.82-2.91, 2 Li 2.98, 1 Rh 2.99
Rh (0.6378, 0.1378, 0.0000)  6 Y 2.82-2.91, 2 Li 2.98, 1 Rh 2.99
Rh (0.3622, 0.8622, 0.0000)  6 Y 2.82-2.91, 2 Li 2.98, 1 Rh 2.99
Rh (0.8622, 0.6378, 0.0000)  6 Y 2.82-2.91, 2 Li 2.98, 1 Rh 2.99
Li (0.5000, 0.5000, 0.0000)  4 Rh 2.98
Li (0.0000, 0.0000, 0.0000)  4 Rh 2.98

Calculated values
SG: P4/mbm (127)
M_tot: 0.00 μB per cell



#x
Computed, not measured: an optimized crystal structure of LiY2Rh2 at the GGA-PBE level of DFT.

Unit cell a=5.7607 b=5.7607 c=7.6584 alpha=75.36 beta=75.36 gamma=55.57
Closest atoms and distances in Å follow each position.
Positions (direct):
Y (0.5002, 0.2046, 0.1508)  5 Rh 2.88-3.00, 1 Li 3.21
Y (0.2046, 0.5002, 0.6508)  5 Rh 2.88-3.00, 1 Li 3.21
Y (0.7954, 0.4998, 0.3492)  5 Rh 2.88-3.00, 1 Li 3.21
Y (0.4998, 0.7954, 0.8492)  5 Rh 2.88-3.00, 1 Li 3.21
Rh (0.9852, 0.2759, 0.9928)  2 Li 2.55-2.58, 1 Rh 2.71
Rh (0.0148, 0.7240, 0.0072)  2 Li 2.55-2.58, 1 Rh 2.71
Rh (0.7240, 0.0148, 0.5072)  2 Li 2.55-2.58, 1 Rh 2.71
Rh (0.2759, 0.9852, 0.4928)  2 Li 2.55-2.58, 1 Rh 2.71
Li (0.1414, 0.8586, 0.2500)  4 Rh 2.55-2.58
Li (0.8586, 0.1414, 0.7500)  4 Rh 2.55-2.58

Calculated values
SG: C2/c (15)
M_tot: 0.00 μB per cell



The structure with the most favorable energy is #x; the runner-up is 0.031 eV/atom above it.